No. 1
VASP calculation (SCAN) on a crystal of LiCoF3 relaxed with PBEsol.

final energy = -8.29 eV/atom
mass density = 3.337 g/cm3
energy relative to the elements, uncorrected = -2.224 eV per atom

a = 3.9394 Å, b = 3.9394 Å, c = 3.9394 Å
α = 90.00°, β = 90.00°, γ = 90.00°
Sites, in units of the cell vectors:
Li 0.0000 0.0000 0.0000
Co 0.5000 0.5000 0.5000
F 0.0000 0.5000 0.5000
F 0.5000 0.0000 0.5000
F 0.5000 0.5000 0.0000

=====

No. 2
VASP calculation (SCAN) on a crystal of Re3AuI relaxed with PBEsol.

final energy = -60.77 eV/atom
mass density = 13.835 g/cm3
energy relative to the elements, uncorrected = 3.066 eV per atom

a = 4.7314 Å, b = 4.7314 Å, c = 4.7314 Å
α = 90.00°, β = 90.00°, γ = 90.00°
Sites, in units of the cell vectors:
Re 0.0000 0.0000 0.5000
Re 0.0000 0.5000 0.0000
Re 0.5000 0.0000 0.0000
Au 0.5000 0.5000 0.5000
I 0.0000 0.0000 0.0000

=====

No. 3
VASP calculation (SCAN) on a crystal of SbSeBr2Cl relaxed with PBEsol.

final energy = -20.17 eV/atom
mass density = 4.989 g/cm3
energy relative to the elements, uncorrected = 0.680 eV per atom

a = 5.0770 Å, b = 5.0770 Å, c = 5.1129 Å
α = 90.00°, β = 90.00°, γ = 90.00°
Sites, in units of the cell vectors:
Sb 0.0000 0.0000 0.0000
Se 0.5000 0.5000 0.0000
Br 0.0000 0.5000 0.5000
Br 0.5000 0.0000 0.5000
Cl 0.5000 0.5000 0.5000

=====

No. 4
VASP calculation (SCAN) on a crystal of SbTeMo2 relaxed with PBEsol.

final energy = -35.74 eV/atom
mass density = 10.344 g/cm3
energy relative to the elements, uncorrected = 0.331 eV per atom
relative energy among the computed polymorphs = 63 meV per atom

a = 6.5681 Å, b = 6.5681 Å, c = 6.5681 Å
α = 90.00°, β = 90.00°, γ = 90.00°
Sites, in units of the cell vectors:
Sb 0.0000 0.0000 0.0000
Sb 0.0000 0.5000 0.5000
Sb 0.5000 0.0000 0.5000
Sb 0.5000 0.5000 0.0000
Te 0.0000 0.0000 0.5000
Te 0.0000 0.5000 0.0000
Te 0.5000 0.0000 0.0000
Te 0.5000 0.5000 0.5000
Mo 0.2500 0.2500 0.2500
Mo 0.2500 0.2500 0.7500
Mo 0.2500 0.7500 0.2500
Mo 0.2500 0.7500 0.7500
Mo 0.7500 0.2500 0.2500
Mo 0.7500 0.2500 0.7500
Mo 0.7500 0.7500 0.2500
Mo 0.7500 0.7500 0.7500

=====

No. 5
VASP calculation (SCAN) on a crystal of Ta2Ga2Mo relaxed with PBEsol.

final energy = -40.44 eV/atom
DFT formation energy = -0.286 eV per atom
mass density = 12.621 g/cm3

a = 6.6896 Å, b = 6.6896 Å, c = 3.5122 Å
α = 90.00°, β = 90.00°, γ = 90.00°
Sites, in units of the cell vectors:
Ta 0.1740 0.3260 0.0000
Ta 0.3260 0.8260 0.0000
Ta 0.6740 0.1740 0.0000
Ta 0.8260 0.6740 0.0000
Ga 0.1284 0.6284 0.5000
Ga 0.3716 0.1284 0.5000
Ga 0.6284 0.8716 0.5000
Ga 0.8716 0.3716 0.5000
Mo 0.0000 0.0000 0.5000
Mo 0.5000 0.5000 0.5000

=====

No. 6
VASP calculation (SCAN) on a crystal of ScCdAg2 relaxed with PBEsol.

final energy = -27.07 eV/atom
DFT formation energy = -0.226 eV per atom
mass density = 8.472 g/cm3

a = 4.3171 Å, b = 4.3171 Å, c = 7.8473 Å
α = 90.00°, β = 90.00°, γ = 90.00°
Sites, in units of the cell vectors:
Sc 0.0000 0.0000 0.0000
Sc 0.5000 0.5000 0.5000
Cd 0.0000 0.5000 0.7500
Cd 0.5000 0.0000 0.2500
Ag 0.0000 0.0000 0.5000
Ag 0.0000 0.5000 0.2500
Ag 0.5000 0.0000 0.7500
Ag 0.5000 0.5000 0.0000

=====

No. 7
VASP calculation (SCAN) on a crystal of LiCa2Zn relaxed with PBEsol.

final energy = -8.90 eV/atom
DFT formation energy = -0.087 eV per atom
mass density = 2.404 g/cm3

a = 11.6856 Å, b = 3.5895 Å, c = 5.3796 Å
α = 90.00°, β = 110.96°, γ = 90.00°
Sites, in units of the cell vectors:
Li 0.0000 0.0000 0.0000
Li 0.5000 0.5000 0.0000
Ca 0.2142 0.0000 0.7556
Ca 0.4187 0.0000 0.4161
Ca 0.7142 0.5000 0.7556
Ca 0.9187 0.5000 0.4161
Zn 0.1813 0.5000 0.2377
Zn 0.6813 0.0000 0.2377

=====

No. 8
VASP calculation (SCAN) on a crystal of SiAs2Os relaxed with PBEsol.

final energy = -30.41 eV/atom
mass density = 9.535 g/cm3
energy relative to the elements, uncorrected = 0.164 eV per atom

a = 3.0292 Å, b = 3.0292 Å, c = 6.9871 Å
α = 90.00°, β = 90.00°, γ = 90.00°
Sites, in units of the cell vectors:
Si 0.0000 0.0000 0.0000
As 0.0000 0.0000 0.5727
As 0.5000 0.5000 0.2060
Os 0.5000 0.5000 0.8011

=====

No. 9
VASP calculation (SCAN) on a crystal of MgCdPCl2 relaxed with PBEsol.

final energy = -12.86 eV/atom
mass density = 3.364 g/cm3
energy relative to the elements, uncorrected = -0.509 eV per atom

a = 4.6173 Å, b = 4.6173 Å, c = 5.5248 Å
α = 90.00°, β = 90.00°, γ = 90.00°
Sites, in units of the cell vectors:
Mg 0.0000 0.0000 0.0000
Cd 0.5000 0.5000 0.5000
P 0.0000 0.0000 0.5000
Cl 0.0000 0.5000 0.0000
Cl 0.5000 0.0000 0.0000

=====

No. 10
VASP calculation (SCAN) on a crystal of LiP2Pb relaxed with PBEsol.

final energy = -24.72 eV/atom
DFT formation energy = 0.025 eV per atom
mass density = 6.225 g/cm3

a = 3.2282 Å, b = 3.2282 Å, c = 7.0669 Å
α = 90.00°, β = 90.00°, γ = 90.00°
Sites, in units of the cell vectors:
Li 0.0000 0.0000 0.0000
P 0.0000 0.0000 0.3450
P 0.5000 0.5000 0.2331
Pb 0.5000 0.5000 0.7073

=====

No. 11
VASP calculation (SCAN) on a crystal of V3H6O10 relaxed with PBEsol.

final energy = -8.92 eV/atom
mass density = 2.345 g/cm3
relative energy among the computed polymorphs = 0 meV per atom

a = 6.0546 Å, b = 8.7348 Å, c = 8.8041 Å
α = 88.59°, β = 82.74°, γ = 77.90°
Sites, in units of the cell vectors:
V 0.0000 0.0000 0.0000
V 0.0010 0.5023 0.5003
V 0.0277 0.6378 0.1315
V 0.9385 0.8747 0.6479
V 0.9600 0.1553 0.3580
V 0.9918 0.3785 0.8696
H 0.3108 0.6683 0.3463
H 0.3161 0.2441 0.6395
H 0.3447 0.7348 0.9108
H 0.5176 0.0640 0.6501
H 0.5384 0.6452 0.4429
H 0.5459 0.7821 0.7707
H 0.5507 0.1999 0.4990
H 0.5633 0.7127 0.2678
H 0.5698 0.1738 0.0728
H 0.5718 0.2764 0.2242
H 0.5721 0.5916 0.8542
H 0.5803 0.3577 0.0393
O 0.0508 0.6868 0.5888
O 0.0642 0.1878 0.9183
O 0.0667 0.9196 0.7979
O 0.0742 0.0713 0.1867
O 0.0889 0.3012 0.4036
O 0.1030 0.3920 0.6785
O 0.1150 0.4883 0.9912
O 0.1234 0.5834 0.3087
O 0.1449 0.7932 0.0577
O 0.4448 0.7170 0.3684
O 0.4644 0.6931 0.8225
O 0.4752 0.1779 0.6119
O 0.5070 0.2861 0.1157
O 0.6533 0.8999 0.6965
O 0.6757 0.2294 0.3585
O 0.7090 0.4402 0.9042
O 0.7264 0.0207 0.0298
O 0.7262 0.5371 0.5152
O 0.7496 0.6873 0.1520
O 0.9850 0.0086 0.4998

=====

No. 12
VASP calculation (SCAN) on a crystal of SrAg2Au2 relaxed with PBEsol.

final energy = -45.14 eV/atom
DFT formation energy = -0.477 eV per atom
mass density = 10.666 g/cm3

a = 4.1052 Å, b = 4.1052 Å, c = 12.8834 Å
α = 90.00°, β = 90.00°, γ = 90.00°
Sites, in units of the cell vectors:
Sr 0.0000 0.0000 0.0000
Sr 0.5000 0.5000 0.5000
Ag 0.0000 0.5000 0.2500
Ag 0.0000 0.5000 0.7500
Ag 0.5000 0.0000 0.2500
Ag 0.5000 0.0000 0.7500
Au 0.0000 0.0000 0.3959
Au 0.0000 0.0000 0.6041
Au 0.5000 0.5000 0.1041
Au 0.5000 0.5000 0.8959